# Ac2Co2O7 (PBE+U, relaxed)
data_Ac2Co2O7
_chemical_formula_sum 'Ac4 Co4 O14'
_cell_length_a 8.6468
_cell_length_b 10.9602
_cell_length_c 3.5605
_cell_angle_alpha 90.00
_cell_angle_beta 90.00
_cell_angle_gamma 90.00
_symmetry_space_group_name_H-M 'C m m m'
_symmetry_Int_Tables_number 65
_symmetry_space_group_name_Hall '-C 2 2'
loop_
_atom_site_label
_atom_site_fract_x
_atom_site_fract_y
_atom_site_fract_z
Ac1 0.2097 0.0000 0.0000
Co1 0.0000 0.2716 0.5000
O1 0.0000 0.0000 0.5000
O2 0.0000 0.1959 0.0000
O3 0.1646 0.3665 0.5000
# Total DFT energy (no corrections) = -145.6 eV per cell